[1]
## PmPr4In2 (PBE)

Data for PmPr4In2 after structural relaxation.

Structure (POSCAR):
```
PmPr4In2
1.0
6.0551 0.0000 0.0000
0.0000 6.0551 0.0000
-3.0276 -3.0276 6.4552
In Pm Pr
2 1 4
Direct
0.3767 0.3767 0.7533 In
0.6233 0.6233 0.2467 In
0.0000 0.0000 0.0000 Pm
0.5000 0.0000 0.0000 Pr
0.2500 0.7500 0.5000 Pr
0.0000 0.5000 0.0000 Pr
0.7500 0.2500 0.5000 Pr
```

Properties
Crystal system: tetragonal
E above lowest polymorph in kJ/mol of formula units: 181
DOS(E_F) in states/eV per atom: 1.487

[2]
## Sr2Tl3Pb (PBE)

Data for Sr2Tl3Pb after structural relaxation.

Structure (POSCAR):
```
Sr2Tl3Pb
1.0
-5.5043 -3.3385 2.1904
1.2239 -3.0388 5.9590
-0.6878 10.7684 0.3715
Pb Sr Tl
2 4 6
Direct
0.3350 0.3350 0.6700 Pb
0.6650 0.6650 0.3300 Pb
0.7500 0.2500 0.5000 Sr
0.7504 0.2496 0.0000 Sr
0.2500 0.7500 0.5000 Sr
0.2496 0.7504 0.0000 Sr
0.1650 0.1650 0.3300 Tl
0.3333 0.3333 0.1674 Tl
0.8350 0.8350 0.6700 Tl
0.8340 0.8340 0.1674 Tl
0.1660 0.1660 0.8326 Tl
0.6667 0.6667 0.8326 Tl
```

Properties
Crystal system: orthorhombic
E above lowest polymorph in kJ/mol of formula units: 26
DOS(E_F) in states/eV per atom: 0.609